# 1
The following is a DFT calculation (GGA-PBE) of a relaxed structure of ReHg2Rh.

Computed properties:
E_tot ... -17.081 eV per formula unit
Formation enthalpy at 0 K ... 0.83 eV per atom
E above lowest polymorph ... 558.1 meV per atom

Cell: 4.6486 4.6486 4.6486 Å, 60.00 60.00 60.00°
Site moments in Bohr magnetons follow the coordinates.
Fractional positions:
Re1 0.5000 0.5000 0.5000  1.25
Hg1 0.7500 0.7500 0.7500  0.01
Hg2 0.0000 0.0000 0.0000  0.00
Rh1 0.2500 0.2500 0.2500  0.20

# 2
The following is a DFT calculation (GGA-PBE) of a relaxed structure of KP3Se.

Computed properties:
E_tot ... -17.171 eV per formula unit
E_form (uncorrected) ... 0.728 eV/atom

Cell: 4.9831 4.9831 4.9831 Å, 90.00 90.00 90.00°
Site moments in Bohr magnetons follow the coordinates.
Fractional positions:
Se1 0.0000 0.0000 0.0000  0.02
P1 0.5000 0.0000 0.0000  0.18
P2 0.0000 0.0000 0.5000  0.24
P3 0.0000 0.5000 0.0000  0.16
K1 0.5000 0.5000 0.5000  0.01

# 3
The following is a DFT calculation (GGA-PBE) of a relaxed structure of La2Pm3Dy8.

Computed properties:
E_tot ... -57.716 eV per formula unit
Formation enthalpy at 0 K ... 0.25 eV per atom

Cell: 5.5787 7.7105 11.1977 Å, 110.14 90.01 90.00°
Fractional positions:
Dy1 0.5002 0.3948 0.2125
Dy2 0.4998 0.1824 0.7875
Pm1 0.5000 0.0000 0.0000
Pm2 0.0000 0.7064 0.0000
La1 0.4993 0.2411 0.4823
Pm3 0.0000 0.2936 0.0000
Dy3 0.9996 0.3395 0.6791
Dy4 0.0001 0.8733 0.7466
La2 0.5007 0.7589 0.5177
Dy5 0.5002 0.8176 0.2125
Dy6 0.9999 0.1267 0.2534
Dy7 0.0004 0.6605 0.3209
Dy8 0.4998 0.6052 0.7875

# 4
The following is a DFT calculation (GGA-PBE) of a relaxed structure of Ba2NpIrS6.

Computed properties:
E_tot ... -63.440 eV per formula unit
E_form (uncorrected) ... -1.303 eV/atom

Cell: 6.9777 6.9777 6.9778 Å, 120.00 120.00 90.00°
Site moments in Bohr magnetons follow the coordinates.
Fractional positions:
S1 0.7593 0.7602 0.0001  -0.06
S2 0.2404 0.7597 0.0000  -0.06
S3 0.2403 0.2411 0.4809  -0.06
Np1 0.4998 0.5003 0.9997  2.62
Ba1 0.2501 0.7506 0.5002  0.00
Ir1 0.9998 0.0003 0.9997  -0.16
Ba2 0.7501 0.2506 0.5002  0.00
S4 0.7594 0.7596 0.5185  -0.06
S5 0.7593 0.2410 0.9994  -0.06
S6 0.2405 0.2406 0.9994  -0.06

# 5
The following is a DFT calculation (GGA-PBE) of a relaxed structure of Ce2CuSi4Pt3.

Computed properties:
E_tot ... -65.691 eV per formula unit
E_form (uncorrected) ... -0.991 eV/atom

Cell: 4.2240 4.2240 9.8364 Å, 90.00 90.00 90.00°
Fractional positions:
Pt1 0.0000 0.0000 0.5000
Cu1 0.5000 0.5000 0.5000
Ce1 0.0000 0.5000 0.7483
Si1 0.5000 0.0000 0.6305
Si2 0.5000 0.5000 0.0000
Si3 0.0000 0.5000 0.3695
Ce2 0.5000 0.0000 0.2517
Pt2 0.5000 0.0000 0.8769
Pt3 0.0000 0.5000 0.1231
Si4 0.0000 0.0000 0.0000

# 6
The following is a DFT calculation (GGA-PBE) of a relaxed structure of SrEr2Cd.

Computed properties:
E_tot ... -10.954 eV per formula unit
Formation enthalpy at 0 K ... 0.19 eV per atom
E above lowest polymorph ... 204.9 meV per atom

Cell: 3.6278 3.6278 12.0849 Å, 81.37 81.37 60.00°
Site moments in Bohr magnetons follow the coordinates.
Fractional positions:
Sr1 0.0000 0.0000 0.0000  0.01
Cd1 0.5000 0.5000 0.5000  0.00
Er1 0.0995 0.0995 0.7016  0.08
Er2 0.9005 0.9005 0.2984  0.08

# 7
The following is a DFT calculation (GGA-PBE) of a relaxed structure of Pr3Ga4Pd7.

Computed properties:
E_tot ... -74.121 eV per formula unit
Formation enthalpy at 0 K ... -0.81 eV per atom

Cell: 4.2416 8.2527 8.5310 Å, 70.56 75.61 75.11°
Fractional positions:
Pr1 0.3258 0.1813 0.1671
Ga1 0.3373 0.5478 0.7777
Pr2 0.6742 0.8187 0.8329
Ga2 0.6627 0.4522 0.2223
Pd1 0.1588 0.6036 0.0789
Pd2 0.8412 0.3964 0.9211
Ga3 0.1156 0.1077 0.6612
Pd3 0.6916 0.1564 0.4604
Pd4 0.4973 0.2239 0.7816
Pr3 0.0000 0.5000 0.5000
Pd5 0.0000 0.0000 0.0000
Pd6 0.5027 0.7761 0.2184
Ga4 0.8844 0.8923 0.3388
Pd7 0.3084 0.8436 0.5396

# 8
The following is a DFT calculation (GGA-PBE) of a relaxed structure of Na3Sr2Li12Tl.

Computed properties:
E_tot ... -31.844 eV per formula unit
Formation enthalpy at 0 K ... 0.04 eV per atom

Cell: 7.8746 7.8746 7.8746 Å, 85.77 85.77 85.77°
Fractional positions:
Tl1 0.0000 0.0000 0.0000
Li1 0.4392 0.8327 0.4392
Li2 0.1957 0.1957 0.7475
Li3 0.8043 0.8043 0.2525
Li4 0.5608 0.1673 0.5608
Li5 0.8043 0.2525 0.8043
Na1 0.5000 0.0000 0.0000
Li6 0.4392 0.4392 0.8327
Sr1 0.7424 0.7424 0.7424
Li7 0.7475 0.1957 0.1957
Li8 0.8327 0.4392 0.4392
Sr2 0.2576 0.2576 0.2576
Na2 0.0000 0.5000 0.0000
Li9 0.1957 0.7475 0.1957
Li10 0.5608 0.5608 0.1673
Li11 0.1673 0.5608 0.5608
Na3 0.0000 0.0000 0.5000
Li12 0.2525 0.8043 0.8043